Arrangement A

K3LiSc | the Alexandria database | PBE-GGA | optimized geometry; magnetization = 2.90 μB/f.u.; calculated volume = 71.0 Å³/atom
1.0
-4.973 -3.386 3.732
5.037 -3.496 3.540
0.151 5.142 4.865
Li Sc K
1 1 3
direct
0.500 0.500 0.500
0.000 0.000 0.000
0.000 0.000 0.500
0.500 0.000 0.000
0.000 0.500 0.000



Arrangement B

K3LiSc | the Alexandria database | PBE-GGA | optimized geometry; magnetization = 1.36 μB/f.u.; calculated volume = 56.1 Å³/atom
1.0
-1.932 0.792 -6.202
0.318 -6.471 -0.925
-6.245 -0.574 1.872
K Li Sc
3 1 1
direct
0.000 0.000 0.500
0.000 0.500 0.000
0.500 0.000 0.000
0.000 0.000 0.000
0.500 0.500 0.500



The structure with the least stability is arrangement A.